{"formula": "La5YGa6", "functional": "PBE", "state": "relaxed", "e_form_ev_per_atom": -0.572, "magmom_total_mub_per_fu": 0.0, "dos_at_fermi_per_ev_atom": 0.614, "space_group": "P2/m (10)", "energy_ev_per_atom": -4.677, "lattice": [[5.0109, -0.0300, 1.6630], [0.0403, 7.4711, 0.0134], [-0.0210, -0.0149, 8.3811]], "species": ["Y", "Ga", "Ga", "Ga", "Ga", "Ga", "Ga", "La", "La", "La", "La", "La"], "frac_coords": [[0.0000, 0.0000, 0.0000], [0.8390, 0.7586, 0.3218], [0.8390, 0.2414, 0.3218], [0.5000, 0.2438, 0.0000], [0.5000, 0.7562, 0.0000], [0.1610, 0.7586, 0.6782], [0.1610, 0.2414, 0.6782], [0.6720, 0.5000, 0.6558], [0.3340, 0.0000, 0.3319], [0.0000, 0.5000, 0.0000], [0.6660, 0.0000, 0.6681], [0.3280, 0.5000, 0.3442]]}

=====

{"formula": "LaYGa", "functional": "PBE", "state": "relaxed", "e_form_ev_per_atom": -0.263, "magmom_total_mub_per_fu": 0.0, "dos_at_fermi_per_ev_atom": 1.594, "space_group": "F-43m (216)", "energy_ev_per_atom": -5.069, "lattice": [[-3.7850, 0.4795, 3.3863], [-2.8589, -4.0450, 1.2196], [0.4250, -2.1246, 4.6183]], "species": ["Y", "Ga", "La"], "frac_coords": [[0.0000, 0.0000, 0.0000], [0.2500, 0.2500, 0.2500], [0.5000, 0.5000, 0.5000]]}

=====

{"formula": "LaYGa3", "functional": "PBE", "state": "relaxed", "e_form_ev_per_atom": 0.525, "magmom_total_mub_per_fu": 0.0, "dos_at_fermi_per_ev_atom": 1.414, "space_group": "Pm-3m (221)", "energy_ev_per_atom": -3.570, "lattice": [[-0.4286, 3.4202, 4.2170], [-4.7187, 1.8580, -1.9866], [-2.6861, -3.8099, 2.8169]], "species": ["Y", "Ga", "Ga", "Ga", "La"], "frac_coords": [[0.5000, 0.5000, 0.5000], [0.0000, 0.5000, 0.0000], [0.0000, 0.0000, 0.5000], [0.5000, 0.0000, 0.0000], [0.0000, 0.0000, 0.0000]]}